Density functional theory data (PBE) for a geometry-optimized Tb2PrY2Tm2 structure.

## Properties
For the formation energy, the calculation gives 318 meV per atom. As for the density of states at the Fermi level: 9.893 states/eV/f.u.

Geometry as POSCAR:
```
Tb2PrY2Tm2
1.0
7.5324 -1.7784 0.0000
7.5324 1.7784 0.0000
-0.2645 0.0000 8.8698
Tb Pr Y Tm
2 1 2 2
Cartesian
2.6767 0.0000 0.6411 Tb
12.1236 0.0000 8.2287 Tb
7.5324 0.0000 0.0000 Pr
0.7452 0.0000 3.1115 Y
14.0550 0.0000 5.7583 Y
2.8435 0.0000 5.9022 Tm
11.9567 0.0000 2.9677 Tm
```